# EuZn2Ir

A relaxed structure of EuZn2Ir (PBE-GGA, the Alexandria database).

Cell lengths 5.718, 5.718, 5.718 Å; angles 44.57, 44.57, 44.57 degrees
Fractional positions:
1 Eu 0.000 0.000 0.000
2 Zn 0.203 0.203 0.203
3 Zn 0.797 0.797 0.797
4 Ir 0.500 0.500 0.500

- SG: R-3m
- Energy of formation: -298 meV per atom

=====

# Eu2Zn4Ir

A relaxed structure of Eu2Zn4Ir (PBE-GGA, the Alexandria database).

Cell lengths 8.488, 8.488, 8.488 Å; angles 147.04, 147.04, 47.30 degrees
Fractional positions:
1 Eu 0.141 0.141 0.000
2 Eu 0.859 0.859 0.000
3 Zn 0.000 0.500 0.500
4 Zn 0.342 0.342 0.000
5 Zn 0.500 0.000 0.500
6 Zn 0.658 0.658 0.000
7 Ir 0.500 0.500 0.000

- SG: I4/mmm
- Energy of formation: -165 meV per atom

=====

# Eu2ZnIr

A relaxed structure of Eu2ZnIr (PBE-GGA, the Alexandria database).

Cell lengths 3.602, 3.602, 7.410 Å; angles 90.00, 90.00, 90.00 degrees
Fractional positions:
1 Eu 0.000 0.000 0.225
2 Eu 0.000 0.000 0.775
3 Zn 0.500 0.500 0.500
4 Ir 0.500 0.500 0.000

- SG: P4/mmm
- Energy of formation: -272 meV per atom

=====

# Eu2ZnIr

A relaxed structure of Eu2ZnIr (PBE-GGA, the Alexandria database).

Cell lengths 10.020, 10.020, 10.020 Å; angles 23.74, 23.74, 23.74 degrees
Fractional positions:
1 Eu 0.113 0.113 0.113
2 Eu 0.887 0.887 0.887
3 Zn 0.000 0.000 0.000
4 Ir 0.500 0.500 0.500

- SG: R-3m
- Energy of formation: 65 meV per atom

=====

These records have total moment values of 7.15 15.07 13.58 14.30 μB/cell, in the order they appear.
These records have density of states at the Fermi level values of 12.61 21.52 11.26 12.63 states/eV/f.u., in the order they appear.
These records have energy values of -5.72 -5.09 -7.94 -7.61 eV per atom, in the order they appear.